CsSr2WO5: optimized geometry, GGA+U.

Results
Total magnetic moment: 0.11 μB/atom
Total DFT energy (no corrections): -6.368 eV/atom
DOS at the Fermi energy: 0.10 states/eV/cell
Space group: No. 71

abc: 4.069 6.482 6.900
angles: 118.01 107.15 90.00
Each line ends with the local moment (μB).
Atoms (fractional coordinates):
O 0.369 0.659 0.738  0.01
O 0.369 0.079 0.738  0.01
O 0.000 0.000 0.000  -0.08
O 0.631 0.921 0.262  0.01
O 0.631 0.341 0.262  0.01
Sr 0.776 0.776 0.552  0.00
Sr 0.224 0.224 0.448  0.00
Cs 0.000 0.500 0.000  0.00
W 0.500 0.000 0.000  0.97